Record 1
Computed, not measured: a relaxed Rb5USe5 crystal at the GGA-PBE level of DFT.

ρ (g cm⁻³): 4.025
Total DFT energy (no corrections) (eV per atom): -4.1860
Symmetry: C2/m, No. 12

```
Rb5USe5
1.0
7.8585 -3.1687 0.0000
7.8585 3.1687 0.0000
-3.0594 0.0000 8.7829
Rb Se U
5 5 1
Cartesian
2.6635 0.0000 6.0726 Rb
9.9942 0.0000 2.7103 Rb
8.0228 0.0000 7.4431 Rb
-1.5297 0.0000 4.3915 Rb
4.6348 0.0000 1.3398 Rb
7.8585 0.0000 0.0000 Se
-0.6234 0.0000 7.5491 Se
1.2475 0.0000 2.4714 Se
11.4101 0.0000 6.3116 Se
13.2810 0.0000 1.2338 Se
0.0000 0.0000 0.0000 U
```



Record 2
Computed, not measured: a relaxed PmCo crystal at the GGA-PBE level of DFT.

ρ (g cm⁻³): 8.005
E_form (eV/atom): 0.273
Symmetry: R-3m, No. 166

```
PmCo
1.0
-1.4050 -3.8182 0.8849
-0.9635 -1.5269 3.7518
-3.7794 -1.0339 1.4082
Co Pm
1 1
Cartesian
0.0000 0.0000 0.0000 Co
-3.0739 -3.1895 3.0225 Pm
```



Record 3
Computed, not measured: a relaxed BeHgPO crystal at the GGA-PBE level of DFT.

ρ (g cm⁻³): 6.628
Total DFT energy (no corrections) (eV per atom): -3.9180
Symmetry: P4/nmm, No. 129

```
BeHgPO
1.0
-2.8976 -0.1706 2.3936
-0.8654 -3.4259 -1.2919
5.4032 -3.7311 6.2750
Hg O Be P
2 2 2 2
Cartesian
2.7016 -1.8656 3.1375 Hg
0.8201 -3.6638 3.6884 Hg
-1.8815 -1.7983 0.5509 O
0.0000 0.0000 0.0000 O
-0.3660 -1.7590 -0.5685 Be
3.8878 -3.7704 7.3944 Be
2.3849 -2.7326 5.6490 P
1.1368 -2.7968 1.1768 P
```



Record 4
Computed, not measured: a relaxed YTmGa2Ir4 crystal at the GGA-PBE level of DFT.

ρ (g cm⁻³): 13.299
Total DFT energy (no corrections) (eV per atom): -7.1332
Symmetry: P-6m2, No. 187

```
YTmGa2Ir4
1.0
-4.0072 -1.5392 0.5620
3.4192 -2.5720 0.6604
0.2371 2.5248 8.6051
Y Ir Ga Tm
1 4 2 1
Cartesian
-1.4132 -0.6211 4.8974 Y
-1.3326 0.2367 7.8208 Ir
-1.4937 -1.4789 1.9739 Ir
0.1600 1.7037 5.8067 Ir
0.0771 0.8211 2.7984 Ir
1.1223 -0.3265 7.1076 Ga
1.0023 -1.6042 2.7528 Ga
0.0000 0.0000 0.0000 Tm
```



Record 5
Computed, not measured: a relaxed RbBeIr crystal at the GGA-PBE level of DFT.

ρ (g cm⁻³): 7.373
Total DFT energy (no corrections) (eV per atom): -3.1320
Symmetry: F-43m, No. 216

```
RbBeIr
1.0
0.0000 3.1842 3.1842
3.1842 0.0000 3.1842
3.1842 3.1842 0.0000
Ir Rb Be
1 1 1
Cartesian
1.5921 1.5921 1.5921 Ir
4.7762 4.7762 4.7762 Rb
0.0000 0.0000 0.0000 Be
```



Record 6
Computed, not measured: a relaxed KFeCl4 crystal at the GGA-PBE level of DFT.

ρ (g cm⁻³): 2.244
Total DFT energy (no corrections) (eV per atom): -4.0185
Symmetry: P2_1, No. 4

```
KFeCl4
1.0
-4.9227 -4.0171 3.5251
6.3527 -0.5750 8.2161
-3.3679 8.0642 3.1684
K Cl Fe
4 16 4
Cartesian
-0.3541 -2.1616 5.5707 K
0.4964 5.4454 12.0295 K
-0.9869 -0.6163 11.3085 K
-0.2637 4.0262 4.4901 K
-3.3955 -2.4028 6.7369 Cl
-0.3702 2.9377 10.1649 Cl
2.4105 5.7886 9.4051 Cl
-3.1615 3.4902 3.0638 Cl
1.0708 2.3039 6.9227 Cl
-1.7637 0.5521 4.4913 Cl
-4.3073 2.5049 9.8340 Cl
2.4857 -1.0000 6.3937 Cl
-2.2204 3.5678 7.0429 Cl
2.0041 -0.2515 10.0934 Cl
-2.9266 6.4499 5.2160 Cl
-1.5909 0.2366 8.2058 Cl
-5.8618 4.6022 6.6559 Cl
0.2262 -2.9088 8.7074 Cl
5.2989 0.7020 8.8644 Cl
-5.2151 1.3678 5.1333 Cl
-0.7912 2.2900 8.1163 Fe
-4.1065 -3.5437 4.9967 Fe
-3.5897 1.4032 3.6338 Fe
0.9890 7.1225 8.3874 Fe
```



Record 7
Computed, not measured: a relaxed TbO crystal at the GGA-PBE level of DFT.

ρ (g cm⁻³): 10.082
Total DFT energy (no corrections) (eV per atom): -7.3384
Symmetry: P-6m2, No. 187

```
TbO
1.0
-1.1541 -3.0287 -0.3457
0.3019 1.2995 2.9740
-2.9124 1.1325 -0.1992
Tb O
1 1
Cartesian
-0.9115 0.1399 1.8176 Tb
-2.8531 -0.7366 0.6115 O
```



Record 8
Computed, not measured: a relaxed PrBeGa crystal at the GGA-PBE level of DFT.

ρ (g cm⁻³): 4.806
Total DFT energy (no corrections) (eV per atom): -3.3725
Symmetry: F-43m, No. 216

```
PrBeGa
1.0
1.6058 3.6068 2.6451
4.0627 2.1743 -1.1622
-0.0831 4.4292 -1.7201
Ga Be Pr
1 1 1
Cartesian
2.7927 5.1052 -0.1187 Ga
0.0000 0.0000 0.0000 Be
4.1890 7.6578 -0.1780 Pr
```



Record 9
Computed, not measured: a relaxed K4TcO4 crystal at the GGA-PBE level of DFT.

ρ (g cm⁻³): 3.136
Total DFT energy (no corrections) (eV per atom): -5.1916
Symmetry: C2/m, No. 12

```
K4TcO4
1.0
4.5752 -3.1473 0.0000
4.5752 3.1473 0.0000
-1.6187 0.0000 5.8549
K O Tc
4 4 1
Cartesian
3.2305 0.0000 0.8497 K
0.7940 0.0000 3.4394 K
4.3012 0.0000 5.0053 K
6.7377 0.0000 2.4156 K
2.2980 -1.8023 4.6798 O
5.2337 1.8023 1.1752 O
2.2980 1.8023 4.6798 O
5.2337 -1.8023 1.1752 O
0.0000 0.0000 0.0000 Tc
```



Record 10
Computed, not measured: a relaxed BeNbCoHg crystal at the GGA-PBE level of DFT.

ρ (g cm⁻³): 10.021
Total DFT energy (no corrections) (eV per atom): -4.9223
Symmetry: F-43m, No. 216

```
BeNbCoHg
1.0
0.0000 3.1054 3.1054
3.1054 0.0000 3.1054
3.1054 3.1054 0.0000
Be Nb Co Hg
1 1 1 1
Cartesian
4.6581 4.6581 4.6581 Be
1.5527 1.5527 1.5527 Nb
3.1054 3.1054 3.1054 Co
0.0000 0.0000 0.0000 Hg
```



Record 11
Computed, not measured: a relaxed SrFeCuS3 crystal at the GGA-PBE level of DFT.

ρ (g cm⁻³): 4.461
Total DFT energy (no corrections) (eV per atom): -5.1271
Symmetry: Cmcm, No. 63

```
SrFeCuS3
1.0
-4.1459 -1.1942 5.2198
1.2787 -0.7055 -6.6127
4.4747 -8.0151 1.7204
Sr Cu S Fe
2 2 6 2
Cartesian
1.0497 -2.8307 -3.2430 Sr
0.5578 -7.0841 3.5704 Sr
2.0860 -6.9465 0.2370 Cu
-0.4785 -2.9684 0.0904 Cu
-1.9112 -1.4104 0.9148 S
-2.6374 -3.1629 4.7994 S
1.7252 -5.2920 -1.2769 S
3.5187 -8.5044 -0.5873 S
4.2448 -6.7520 -4.4720 S
-0.1178 -4.6229 1.6043 S
0.0000 0.0000 0.0000 Fe
2.2373 -4.0076 0.8602 Fe
```



Record 12
Computed, not measured: a relaxed CsDyCoTe3 crystal at the GGA-PBE level of DFT.

ρ (g cm⁻³): 5.787
Total DFT energy (no corrections) (eV per atom): -4.5179
Symmetry: Pnma, No. 62

```
CsDyCoTe3
1.0
4.3301 0.0000 0.0000
0.0000 11.5695 0.0000
0.0000 0.0000 16.8886
Cs Co Dy Te
4 4 4 12
Cartesian
3.2476 8.5959 8.2660 Cs
1.0825 8.7583 16.7103 Cs
1.0825 2.9736 8.6227 Cs
3.2476 2.8112 0.1784 Cs
3.2476 8.5969 3.6128 Co
1.0825 2.9726 13.2758 Co
1.0825 8.7573 12.0571 Co
3.2476 2.8122 4.8315 Co
1.0825 11.5274 4.3150 Dy
1.0825 5.7427 4.1293 Dy
3.2476 0.0421 12.5736 Dy
3.2476 5.8268 12.7593 Dy
1.0825 8.5984 5.1387 Te
3.2476 0.7141 6.3512 Te
1.0825 10.8554 10.5374 Te
1.0825 6.5609 10.7002 Te
1.0825 0.7761 14.6327 Te
3.2476 2.9711 11.7499 Te
3.2476 10.7934 2.2559 Te
1.0825 2.8137 3.3056 Te
3.2476 8.7558 13.5830 Te
1.0825 5.0706 14.7955 Te
3.2476 6.4989 2.0931 Te
3.2476 5.0086 6.1884 Te
```



Record 13
Computed, not measured: a relaxed HfNiAsW crystal at the GGA-PBE level of DFT.

ρ (g cm⁻³): 12.638
Total DFT energy (no corrections) (eV per atom): -7.8313
Symmetry: F-43m, No. 216

```
HfNiAsW
1.0
0.0000 3.1939 3.1939
3.1939 0.0000 3.1939
3.1939 3.1939 0.0000
Ni As W Hf
1 1 1 1
Cartesian
4.7909 4.7909 4.7909 Ni
0.0000 0.0000 0.0000 As
3.1939 3.1939 3.1939 W
1.5970 1.5970 1.5970 Hf
```



Record 14
Computed, not measured: a relaxed PmLuZn crystal at the GGA-PBE level of DFT.

ρ (g cm⁻³): 7.477
E_form (eV/atom): 0.019
Symmetry: F-43m, No. 216

```
PmLuZn
1.0
0.0000 3.4977 3.4977
3.4977 0.0000 3.4977
3.4977 3.4977 0.0000
Zn Lu Pm
1 1 1
Cartesian
0.0000 0.0000 0.0000 Zn
1.7489 1.7489 1.7489 Lu
5.2466 5.2466 5.2466 Pm
```



Record 15
Computed, not measured: a relaxed LiLuFeSi crystal at the GGA-PBE level of DFT.

ρ (g cm⁻³): 7.580
Total DFT energy (no corrections) (eV per atom): -5.2538
Symmetry: F-43m, No. 216

```
LiLuFeSi
1.0
0.0000 3.0765 3.0765
3.0765 0.0000 3.0765
3.0765 3.0765 0.0000
Si Li Fe Lu
1 1 1 1
Cartesian
0.0000 0.0000 0.0000 Si
1.5383 1.5383 1.5383 Li
4.6148 4.6148 4.6148 Fe
3.0765 3.0765 3.0765 Lu
```



Record 16
Computed, not measured: a relaxed K2ZnHgF6 crystal at the GGA-PBE level of DFT.

ρ (g cm⁻³): 4.905
Total DFT energy (no corrections) (eV per atom): -3.6835
Symmetry: R-3m, No. 166

```
K2ZnHgF6
1.0
2.9792 1.7201 10.0894
-2.9792 1.7201 10.0894
0.0000 -3.4401 10.0894
K Hg F Zn
4 2 12 2
Cartesian
0.0000 0.0000 26.4636 K
0.0000 0.0000 21.6447 K
0.0000 0.0000 8.6234 K
0.0000 0.0000 3.8045 K
0.0000 0.0000 0.0000 Hg
0.0000 0.0000 15.1341 Hg
-1.4367 0.8295 11.4425 F
-1.5170 0.8758 16.6027 F
0.0000 -1.6589 11.4425 F
-1.5170 -0.8758 13.6654 F
0.0000 1.6589 18.8256 F
1.4367 0.8295 11.4425 F
1.5170 -0.8758 13.6654 F
1.4367 -0.8295 18.8256 F
0.0000 -1.7517 16.6027 F
0.0000 1.7517 13.6654 F
-1.4367 -0.8295 18.8256 F
1.5170 0.8758 16.6027 F
0.0000 0.0000 12.4550 Zn
0.0000 0.0000 17.8132 Zn
```



Record 17
Computed, not measured: a relaxed Rb2Tm4Cu4Te9 crystal at the GGA-PBE level of DFT.

ρ (g cm⁻³): 6.769
Total DFT energy (no corrections) (eV per atom): -4.2519
Symmetry: C2/m, No. 12

```
Rb2Tm4Cu4Te9
1.0
-7.8955 0.9101 0.0292
-6.9279 -1.2089 3.7028
7.0543 14.5962 6.5608
Tm Cu Te Rb
4 4 9 2
Cartesian
1.6397 8.0954 4.2374 Tm
2.3042 13.0518 6.9212 Tm
-10.0733 1.2456 3.3717 Tm
-9.4088 6.2020 6.0554 Tm
-13.5030 0.0751 3.5999 Cu
-1.9050 3.8161 2.7028 Cu
5.7339 14.2224 6.6930 Cu
-5.8640 10.4814 7.5900 Cu
2.9282 10.5559 5.3172 Te
-0.6044 1.8723 1.2391 Te
-0.1678 5.7478 3.3595 Te
-2.9305 13.2487 8.4135 Te
-7.1647 12.4251 9.0537 Te
-7.6012 8.5496 6.9334 Te
-10.6973 3.7415 4.9756 Te
-4.8386 1.0487 1.8793 Te
-3.8845 7.1487 5.1464 Te
-6.0065 3.8264 3.7891 Rb
-1.7626 10.4710 6.5037 Rb
```



Record 18
Computed, not measured: a relaxed Sm2GdCd3Ga2Au crystal at the GGA-PBE level of DFT.

ρ (g cm⁻³): 8.906
Total DFT energy (no corrections) (eV per atom): -3.4835
Symmetry: Amm2, No. 38

```
Sm2GdCd3Ga2Au
1.0
-1.2289 2.5185 -3.3863
-4.9909 -5.1404 -2.0119
-1.9430 5.4086 4.7278
Cd Ga Au Sm Gd
3 2 1 2 1
Cartesian
-2.3735 1.3273 -1.0041 Cd
-6.2846 2.8188 1.5246 Cd
-7.0505 0.1680 -0.1690 Cd
-3.5834 3.1357 0.7799 Ga
-4.5901 -0.3485 -1.4461 Ga
-6.9117 0.2674 2.7071 Au
-2.0616 -2.1194 -0.8282 Sm
-0.8048 2.2303 1.9509 Sm
-4.0813 0.1579 1.5985 Gd
```



Record 19
Computed, not measured: a relaxed ZnCoAgAs crystal at the GGA-PBE level of DFT.

ρ (g cm⁻³): 8.517
Total DFT energy (no corrections) (eV per atom): -3.7127
Symmetry: F-43m, No. 216

```
ZnCoAgAs
1.0
0.0000 3.1052 3.1052
3.1052 0.0000 3.1052
3.1052 3.1052 0.0000
Zn As Ag Co
1 1 1 1
Cartesian
3.1052 3.1052 3.1052 Zn
0.0000 0.0000 0.0000 As
1.5526 1.5526 1.5526 Ag
4.6578 4.6578 4.6578 Co
```



Record 20
Computed, not measured: a relaxed TbTm2Co2B2N3 crystal at the GGA-PBE level of DFT.

ρ (g cm⁻³): 9.592
Total DFT energy (no corrections) (eV per atom): -7.8527
Symmetry: I4/mmm, No. 139

```
TbTm2Co2B2N3
1.0
4.0009 -2.6283 9.0270
-0.5291 -1.2387 10.1285
-2.5138 -0.3488 -9.8975
N Co B Tm Tb
3 2 2 2 1
Cartesian
1.7359 -1.9335 9.5777 N
0.4091 -0.4557 2.2572 N
3.0627 -3.4113 16.8983 N
1.6115 -2.4553 4.3536 Co
-0.6535 -1.7605 4.9044 Co
0.6717 -0.7482 3.7062 B
2.8001 -3.1188 15.4493 B
1.3058 -1.4544 7.2045 Tm
2.1660 -2.4126 11.9510 Tm
0.0000 0.0000 0.0000 Tb
```